Below is a relaxed structure of Pr12Au3O5, with properties calculated at the PBE level.

Properties
V in Å³/cell: 2086
Formation energy from raw total energies in meV per atom: -1528.0
E in eV per atom: -6.127

POSCAR file:
```
Pr12Au3O5
1.0
-8.0487 8.0487 8.0487
8.0487 -8.0487 8.0487
8.0487 8.0487 -8.0487
Pr Au O
48 12 20
Direct
0.0162 0.2021 0.1118
0.0162 0.3141 0.9044
0.0903 0.7021 0.6859
0.0903 0.8882 0.4044
0.0956 0.6118 0.4097
0.0956 0.9838 0.6859
0.1118 0.0162 0.2021
0.1118 0.5956 0.9097
0.1859 0.2021 0.5903
0.1859 0.4838 0.5956
0.2021 0.1118 0.0162
0.2021 0.5903 0.1859
0.2979 0.3141 0.9097
0.2979 0.4838 0.3882
0.3141 0.9044 0.0162
0.3141 0.9097 0.2979
0.3882 0.2979 0.4838
0.3882 0.5903 0.9044
0.4044 0.0903 0.8882
0.4044 0.8141 0.5162
0.4097 0.0956 0.6118
0.4097 0.8141 0.7979
0.4838 0.3882 0.2979
0.4838 0.5956 0.1859
0.5162 0.4044 0.8141
0.5162 0.6118 0.7021
0.5903 0.1859 0.2021
0.5903 0.9044 0.3882
0.5956 0.1859 0.4838
0.5956 0.9097 0.1118
0.6118 0.4097 0.0956
0.6118 0.7021 0.5162
0.6859 0.0903 0.7021
0.6859 0.0956 0.9838
0.7021 0.5162 0.6118
0.7021 0.6859 0.0903
0.7979 0.4097 0.8141
0.7979 0.8882 0.9838
0.8141 0.5162 0.4044
0.8141 0.7979 0.4097
0.8882 0.4044 0.0903
0.8882 0.9838 0.7979
0.9044 0.0162 0.3141
0.9044 0.3882 0.5903
0.9097 0.1118 0.5956
0.9097 0.2979 0.3141
0.9838 0.6859 0.0956
0.9838 0.7979 0.8882
0.1250 0.2500 0.3750
0.1250 0.3750 0.7500
0.2500 0.3750 0.1250
0.2500 0.8750 0.6250
0.3750 0.1250 0.2500
0.3750 0.7500 0.1250
0.6250 0.2500 0.8750
0.6250 0.8750 0.7500
0.7500 0.1250 0.3750
0.7500 0.6250 0.8750
0.8750 0.6250 0.2500
0.8750 0.7500 0.6250
0.0000 0.0000 0.0000
0.0000 0.0000 0.5000
0.0000 0.5000 0.0000
0.0000 0.5000 0.5000
0.1250 0.7500 0.8750
0.1250 0.8750 0.2500
0.2500 0.1250 0.8750
0.2500 0.6250 0.3750
0.3750 0.2500 0.6250
0.3750 0.6250 0.7500
0.5000 0.0000 0.0000
0.5000 0.0000 0.5000
0.5000 0.5000 0.0000
0.5000 0.5000 0.5000
0.6250 0.3750 0.2500
0.6250 0.7500 0.3750
0.7500 0.3750 0.6250
0.7500 0.8750 0.1250
0.8750 0.1250 0.7500
0.8750 0.2500 0.1250
```



Below is a relaxed structure of CrAsBr2, with properties calculated at the PBE level.

Properties
V in Å³/cell: 112
Energy above the most stable polymorph in this dataset in eV per atom: 0.080
Formation energy from raw total energies in meV per atom: -87.8
E in eV per atom: -4.492

POSCAR file:
```
CrAsBr2
1.0
7.7958 -1.7188 0.0000
7.7958 1.7188 0.0000
-0.5069 0.0000 4.1756
Cr As Br
1 1 2
Direct
0.0000 0.0000 0.0000
0.5000 0.5000 0.5000
0.3621 0.3621 0.8057
0.6379 0.6379 0.1943
```



Below is a relaxed structure of LaHoEr2S4, with properties calculated at the PBE level.

Properties
V in Å³/cell: 174
Formation energy from raw total energies in meV per atom: -2000.0
E in eV per atom: -6.393

POSCAR file:
```
LaHoEr2S4
1.0
6.8462 0.0000 0.0000
0.0000 3.8963 0.0000
-2.2265 0.0000 6.5085
La Ho Er S
1 1 2 4
Direct
0.0000 0.0000 0.0000
0.5000 0.5000 0.0000
0.0000 0.5000 0.5000
0.5000 0.0000 0.5000
0.2560 0.0000 0.7409
0.2651 0.5000 0.2667
0.7349 0.5000 0.7333
0.7440 0.0000 0.2591
```



Below is a relaxed structure of Pm2HfSe5, with properties calculated at the PBE level.

Properties
V in Å³/cell: 525
Energy above the most stable polymorph in this dataset in eV per atom: 0.107
Formation energy from raw total energies in meV per atom: -1575.4
E in eV per atom: -6.185

POSCAR file:
```
Pm2HfSe5
1.0
2.7656 -7.0341 0.0000
2.7656 7.0341 0.0000
0.0000 0.0000 13.4891
Pm Hf Se
4 2 10
Direct
0.1465 0.8535 0.5627
0.1465 0.8535 0.9373
0.8535 0.1465 0.0627
0.8535 0.1465 0.4373
0.1872 0.8128 0.2500
0.8128 0.1872 0.7500
0.0483 0.9517 0.1238
0.0483 0.9517 0.3762
0.2725 0.7276 0.7500
0.3055 0.6945 0.0895
0.3055 0.6945 0.4105
0.6945 0.3055 0.5895
0.6945 0.3055 0.9105
0.7276 0.2725 0.2500
0.9517 0.0483 0.6238
0.9517 0.0483 0.8762
```



Below is a relaxed structure of Er6GeC2S3, with properties calculated at the PBE level.

Properties
V in Å³/cell: 239
Formation energy from raw total energies in meV per atom: -1313.0
E in eV per atom: -6.548

POSCAR file:
```
Er6GeC2S3
1.0
8.4058 -1.8726 0.0000
8.4058 1.8726 0.0000
-1.8776 0.0000 7.5931
Er Ge C S
6 1 2 3
Direct
0.0158 0.0158 0.2642
0.3226 0.3226 0.4367
0.3291 0.3291 0.8796
0.6709 0.6709 0.1204
0.6774 0.6774 0.5633
0.9842 0.9842 0.7358
0.5000 0.5000 0.0000
0.1709 0.1709 0.3416
0.8291 0.8291 0.6584
0.1643 0.1643 0.8309
0.5000 0.5000 0.5000
0.8357 0.8357 0.1691
```



Below is a relaxed structure of CoTcS2Cl, with properties calculated at the PBE level.

Properties
V in Å³/cell: 104
Energy above the most stable polymorph in this dataset in eV per atom: 0.169
Formation energy from raw total energies in meV per atom: 624.0
E in eV per atom: -4.891

POSCAR file:
```
CoTcS2Cl
1.0
4.5364 0.0000 0.0000
0.0000 4.5364 0.0000
0.0000 0.0000 5.0601
Co Tc S Cl
1 1 2 1
Direct
0.0000 0.0000 0.0000
0.5000 0.5000 0.5000
0.0000 0.5000 0.5000
0.5000 0.0000 0.5000
0.5000 0.5000 0.0000
```



Below is a relaxed structure of Sm7ZnS5, with properties calculated at the PBE level.

Properties
V in Å³/cell: 639
Formation energy from raw total energies in meV per atom: -1609.2
E in eV per atom: -5.836

POSCAR file:
```
Sm7ZnS5
1.0
6.6186 -2.0012 0.0000
6.6186 2.0012 0.0000
-0.0077 0.0000 24.1064
Sm Zn S
14 2 10
Direct
0.0303 0.0303 0.2500
0.1363 0.1363 0.5364
0.1363 0.1363 0.9636
0.3180 0.3180 0.1747
0.3177 0.3177 0.3252
0.4120 0.4120 0.6075
0.4118 0.4118 0.8925
0.5882 0.5882 0.1075
0.5880 0.5880 0.3925
0.6823 0.6823 0.6748
0.6820 0.6820 0.8253
0.8637 0.8637 0.0364
0.8637 0.8637 0.4636
0.9697 0.9697 0.7500
0.2971 0.2971 0.7502
0.7029 0.7029 0.2498
0.0465 0.0465 0.8585
0.0468 0.0468 0.6416
0.2258 0.2258 0.0705
0.2256 0.2256 0.4295
0.5000 0.5000 0.0000
0.5000 0.5000 0.5000
0.7744 0.7744 0.5705
0.7742 0.7742 0.9295
0.9532 0.9532 0.3584
0.9535 0.9535 0.1415
```



Below is a relaxed structure of K5Rb7, with properties calculated at the PBE level.

Properties
V in Å³/cell: 993
Energy above the most stable polymorph in this dataset in eV per atom: 0.000
E_form in kJ/mol of formula units: 4
E in eV per atom: -1.018

POSCAR file:
```
K5Rb7
1.0
10.3307 -3.5148 0.0000
10.3307 3.5148 0.0000
-6.9422 0.0000 13.6688
K Rb
5 7
Direct
0.0000 0.0000 0.0000
0.0786 0.0786 0.7543
0.2432 0.2432 0.2394
0.6613 0.6613 0.0000
0.9055 0.9055 0.2373
0.1584 0.1584 0.4937
0.3263 0.3263 0.9993
0.4178 0.4178 0.7542
0.4913 0.4913 0.4909
0.5771 0.5771 0.2394
0.7435 0.7435 0.7514
0.8293 0.8293 0.4922
```